--- P ---
The following is a PBE calculation of crystalline Pu2ZrSc at its relaxed geometry, from the Alexandria database.

Calculated values
Space-group type = R3m
Total magnetic moment = 0.2 μB per formula unit
Density = 10.4 g/cm³

a b c (Å): 3.287 3.287 10.803
angles (deg): 81.25 81.25 60.00
Element x y z (fractional)
Pu (0.084, 0.084, 0.748)
Sc (0.667, 0.667, 0.998)
Pu (0.249, 0.249, 0.254)
Zr (0.500, 0.500, 0.501)

***

--- Q ---
The following is a PBE calculation of crystalline Pu2ZrSc at its relaxed geometry, from the Alexandria database.

Calculated values
Space-group type = P4/mmm
Total magnetic moment = 11.0 μB per formula unit
Density = 10.8 g/cm³

a b c (Å): 4.722 4.511 4.511
angles (deg): 90.00 90.00 90.00
Element x y z (fractional)
Zr (0.500, 0.000, 0.000)
Pu (0.000, 0.000, 0.500)
Sc (0.500, 0.500, 0.500)
Pu (0.000, 0.500, 0.000)

***

Tell me which of them is the least stable. Sure, it is P.